Record 1
A relaxed structure of URu4, computed with PBE.

a = 4.726 Å, b = 4.726 Å, c = 4.726 Å
α = 90.00°, β = 90.00°, γ = 90.00°
Sites, in units of the cell vectors:
U1 0.500 0.500 0.500
Ru1 0.500 0.500 0.000
Ru2 0.000 0.500 0.500
Ru3 0.500 0.000 0.500
Ru4 0.000 0.000 0.000

ρ   10.10 Mg/m³
Calculated formation energy   1512 meV per atom

=====

Record 2
A relaxed structure of U6Ru, computed with PBE.

a = 6.117 Å, b = 6.117 Å, c = 6.117 Å
α = 109.47°, β = 109.47°, γ = 109.47°
Sites, in units of the cell vectors:
U1 0.250 0.750 0.500
U2 0.750 0.500 0.250
U3 0.500 0.750 0.250
U4 0.750 0.250 0.500
U5 0.500 0.250 0.750
U6 0.250 0.500 0.750
Ru1 0.000 0.000 0.000

ρ   14.41 Mg/m³
Calculated formation energy   1469 meV per atom

=====

- calculated formation energy of number 2 (U6Ru)?
  1469 meV per atom